Entry 1:
{"formula": "YFeSi2Mo", "functional": "PBE", "state": "optimized geometry", "lattice": [[3.953, 0.000, 0.000], [0.000, 3.953, 0.000], [-1.976, -1.976, 5.369]], "species": ["Y", "Si", "Fe", "Si", "Mo"], "frac_coords": [[0.000, 0.000, 0.000], [0.386, 0.386, 0.773], [0.750, 0.250, 0.500], [0.614, 0.614, 0.227], [0.250, 0.750, 0.500]], "total_energy_ev_per_cell": -39.23, "space_group": "No. 119", "raw_formation_energy_ev_per_atom": -0.53, "dos_ef_per_ev_cell": 3.05}

=====

Entry 2:
{"formula": "Ba2NpZnSe5", "functional": "PBE", "state": "optimized geometry", "lattice": [[4.302, 0.000, 0.000], [-2.151, 9.454, 0.000], [0.000, 0.000, 13.314]], "species": ["Se", "Se", "Ba", "Se", "Np", "Zn", "Se", "Se", "Se", "Se", "Ba", "Zn", "Ba", "Ba", "Np", "Se", "Se", "Se"], "frac_coords": [[0.947, 0.894, 0.539], [0.307, 0.615, 0.374], [0.886, 0.771, 0.189], [0.053, 0.106, 0.039], [0.798, 0.595, 0.519], [0.440, 0.880, 0.437], [0.693, 0.385, 0.874], [0.707, 0.414, 0.159], [0.293, 0.586, 0.659], [0.499, 0.999, 0.277], [0.114, 0.229, 0.689], [0.560, 0.120, 0.937], [0.123, 0.246, 0.321], [0.877, 0.754, 0.821], [0.202, 0.405, 0.019], [0.349, 0.698, 0.008], [0.651, 0.302, 0.508], [0.501, 0.001, 0.777]], "total_energy_ev_per_cell": -96.91, "space_group": "No. 36", "raw_formation_energy_ev_per_atom": -1.44, "dos_ef_per_ev_cell": 16.87}

=====

Entry 3:
{"formula": "La8Tl2Pd", "functional": "PBE", "state": "optimized geometry", "lattice": [[-4.677, -2.898, 0.770], [2.663, -5.285, -3.713], [4.771, -0.060, 8.708]], "species": ["La", "La", "La", "La", "La", "La", "La", "Tl", "Pd", "La", "Tl"], "frac_coords": [[0.992, 0.221, 0.983], [0.790, 0.742, 0.581], [0.409, 0.570, 0.818], [0.210, 0.258, 0.419], [0.348, 0.052, 0.695], [0.591, 0.430, 0.182], [0.008, 0.779, 0.017], [0.823, 0.297, 0.646], [0.500, 0.000, 0.000], [0.652, 0.948, 0.305], [0.177, 0.703, 0.354]], "total_energy_ev_per_cell": -52.56, "space_group": "No. 12", "formation_energy_ev_per_atom": -0.293, "dos_ef_per_ev_cell": 10.93}

=====

Entry 4:
{"formula": "Ce2DyHo6Tm3", "functional": "PBE", "state": "optimized geometry", "lattice": [[-5.764, -1.051, 1.643], [3.265, -4.410, -2.631], [4.413, -1.684, 10.646]], "species": ["Ho", "Tm", "Ho", "Ho", "Tm", "Ho", "Ho", "Dy", "Ce", "Ho", "Tm", "Ce"], "frac_coords": [[0.251, 0.251, 0.749], [0.500, 0.500, 0.500], [0.419, 0.084, 0.251], [0.916, 0.581, 0.749], [0.834, 0.166, 0.500], [0.084, 0.419, 0.251], [0.581, 0.916, 0.749], [0.000, 0.000, 0.000], [0.667, 0.333, 0.000], [0.749, 0.749, 0.251], [0.166, 0.834, 0.500], [0.333, 0.667, 0.000]], "total_energy_ev_per_cell": -56.76, "space_group": "No. 12", "formation_energy_ev_per_atom": 0.049, "dos_ef_per_ev_cell": 22.03}

=====

Entry 5:
{"formula": "SrCd2Ga", "functional": "PBE", "state": "optimized geometry", "lattice": [[-1.353, 4.195, 2.181], [-2.218, -5.078, 2.846], [5.968, -0.256, 4.195]], "species": ["Cd", "Ga", "Cd", "Cd", "Cd", "Ga", "Sr", "Sr"], "frac_coords": [[0.049, 0.098, 0.303], [0.287, 0.574, 0.814], [0.049, 0.098, 0.697], [0.457, 0.915, 0.500], [0.868, 0.736, 0.000], [0.287, 0.574, 0.186], [0.759, 0.517, 0.500], [0.573, 0.147, 0.000]], "total_energy_ev_per_cell": -15.59, "space_group": "No. 38", "formation_energy_ev_per_atom": -0.314, "dos_ef_per_ev_cell": 3.47}

=====

Entry 6:
{"formula": "Re2RuPb", "functional": "PBE", "state": "optimized geometry", "lattice": [[-3.545, -0.589, -6.606], [-0.867, -7.385, 1.123], [-4.522, -3.532, -1.539]], "species": ["Pb", "Ru", "Ru", "Re", "Re", "Re", "Re", "Pb"], "frac_coords": [[0.750, 0.250, 0.500], [0.250, 0.750, 0.500], [0.500, 0.500, 0.000], [0.576, 0.125, 0.250], [0.375, 0.424, 0.750], [0.174, 0.625, 0.250], [0.875, 0.826, 0.750], [0.000, 0.000, 0.000]], "total_energy_ev_per_cell": -66.32, "space_group": "No. 122", "formation_energy_ev_per_atom": 1.180, "dos_ef_per_ev_cell": 11.84}

=====

Entry 7:
{"formula": "MnAlIn2", "functional": "PBE", "state": "optimized geometry", "lattice": [[4.968, 0.000, 0.000], [0.000, 3.046, -0.063], [0.000, -0.527, 5.437]], "species": ["In", "Al", "Mn", "In"], "frac_coords": [[0.000, 0.563, 0.488], [0.500, 0.750, 0.750], [0.500, 0.250, 0.250], [0.000, 0.937, 0.012]], "total_energy_ev_per_cell": -17.16, "space_group": "No. 10", "formation_energy_ev_per_atom": 0.308, "dos_ef_per_ev_cell": 2.70}

=====

Entry 8:
{"formula": "ZrCuCl3", "functional": "PBE", "state": "optimized geometry", "lattice": [[5.049, 0.000, 0.000], [0.000, 5.049, 0.000], [0.000, 0.000, 5.049]], "species": ["Cl", "Zr", "Cl", "Cl", "Cu"], "frac_coords": [[0.000, 0.500, 0.000], [0.000, 0.000, 0.000], [0.500, 0.000, 0.000], [0.000, 0.000, 0.500], [0.500, 0.500, 0.500]], "total_energy_ev_per_cell": -21.17, "space_group": "No. 221", "polymorph_energy_kcal_per_mol_atoms": 0.00, "raw_formation_energy_ev_per_atom": -0.60, "dos_ef_per_ev_cell": 4.15}